Entry 1:
Here is CdRe2Pt after structural relaxation from Alexandria. Energies are from PBE.

Geometry as POSCAR:
```
CdRe2Pt
1.0
3.8091 0.0000 0.0000
0.0000 3.8091 0.0000
0.0000 0.0000 4.4663
Cd Re Pt
1 2 1
Cartesian
0.0000 0.0000 0.0000
0.0000 1.9045 2.2331
1.9045 0.0000 2.2331
1.9045 1.9045 0.0000
```

Calculated values
Formation enthalpy at 0 K ... 1.823 eV per formula unit
Fermi-level density of states ... 3.1 states/eV/cell
Symmetry ... No. 123


Entry 2:
Here is AgN2Cl2 after structural relaxation from Alexandria. Energies are from PBE.

Geometry as POSCAR:
```
AgN2Cl2
1.0
3.8576 -1.8225 0.0000
3.8576 1.8225 0.0000
-3.6520 0.0000 10.4397
Ag N Cl
1 2 2
Cartesian
0.0000 0.0000 0.0000
-1.4178 0.0000 4.8413
5.4810 0.0000 5.5984
-0.6788 0.0000 9.0109
4.7420 0.0000 1.4287
```

Calculated values
ΔE_f (raw) ... -4.45 kcal/mol of atoms
Fermi-level density of states ... 2.0 states/eV/cell
Symmetry ... No. 12


Entry 3:
Here is RbTeRu3 after structural relaxation from Alexandria. Energies are from PBE.

Geometry as POSCAR:
```
RbTeRu3
1.0
4.8548 0.0000 0.0000
0.0000 4.8548 0.0000
0.0000 0.0000 4.8548
Rb Te Ru
1 1 3
Cartesian
0.0000 0.0000 0.0000
2.4274 2.4274 2.4274
0.0000 0.0000 2.4274
0.0000 2.4274 0.0000
2.4274 0.0000 0.0000
```

Calculated values
ΔE_f (raw) ... 65.24 kcal/mol of atoms
Fermi-level density of states ... 10.3 states/eV/cell
Symmetry ... No. 221


Entry 4:
Here is ZrBe2NbOs after structural relaxation from Alexandria. Energies are from PBE.

Geometry as POSCAR:
```
ZrBe2NbOs
1.0
4.3325 0.0000 0.0000
0.0000 4.3325 0.0000
0.0000 0.0000 4.7188
Zr Be Nb Os
1 2 1 1
Cartesian
0.0000 0.0000 0.0000
0.0000 2.1662 0.0000
2.1662 0.0000 0.0000
0.0000 0.0000 2.3594
2.1662 2.1662 2.3594
```

Calculated values
Formation enthalpy at 0 K ... 10.650 eV per formula unit
Fermi-level density of states ... 5.8 states/eV/cell
Symmetry ... No. 123


Entry 5:
Here is In2B3SbIr8 after structural relaxation from Alexandria. Energies are from PBE.

Geometry as POSCAR:
```
In2B3SbIr8
1.0
2.8212 1.6288 7.7049
-2.8212 1.6288 7.7049
0.0000 -3.2576 7.7049
In B Sb Ir
2 3 1 8
Cartesian
0.0000 0.0000 0.0000
0.0000 0.0000 7.8315
0.0000 -1.6088 11.7378
-1.3932 0.8044 11.7378
1.3933 0.8044 11.7378
0.0000 0.0000 15.8504
0.0000 -1.6531 5.4469
-1.4316 0.8266 5.4469
-1.4078 -0.8128 10.2741
0.0000 0.0000 2.6379
0.0000 0.0000 13.1750
1.4317 0.8266 5.4469
1.4078 -0.8128 10.2741
0.0000 1.6256 10.2741
```

Calculated values
ΔE_f (raw) ... 0.16 kcal/mol of atoms
Fermi-level density of states ... 7.6 states/eV/cell
Symmetry ... No. 160


Entry 6:
Here is V4NiOs2 after structural relaxation from Alexandria. Energies are from PBE.

Geometry as POSCAR:
```
V4NiOs2
1.0
-2.1182 2.1182 6.1986
2.1182 -2.1182 6.1986
2.1182 2.1182 -6.1986
V Ni Os
4 1 2
Cartesian
2.1182 0.0000 0.0000
0.0000 0.0000 2.3798
0.0000 2.1182 0.0000
0.0000 0.0000 10.0173
0.0000 0.0000 0.0000
0.0000 0.0000 4.6835
0.0000 0.0000 7.7136
```

Calculated values
Formation enthalpy at 0 K ... 5.367 eV per formula unit
Fermi-level density of states ... 9.3 states/eV/cell
Symmetry ... No. 139


Entry 7:
Here is AcGa4NiIr2 after structural relaxation from Alexandria. Energies are from PBE.

Geometry as POSCAR:
```
AcGa4NiIr2
1.0
2.1420 1.2367 9.0879
-2.1420 1.2367 9.0879
0.0000 -2.4734 9.0879
Ac Ga Ni Ir
1 4 1 2
Cartesian
0.0000 0.0000 0.0000
0.0000 0.0000 3.6312
0.0000 0.0000 11.1327
0.0000 0.0000 16.1309
0.0000 0.0000 23.6323
0.0000 0.0000 13.6318
0.0000 0.0000 6.2112
0.0000 0.0000 21.0523
```

Calculated values
Formation enthalpy at 0 K ... -4.150 eV per formula unit
Fermi-level density of states ... 4.1 states/eV/cell
Symmetry ... No. 166


Entry 8:
Here is SrMnW2 after structural relaxation from Alexandria. Energies are from PBE.

Geometry as POSCAR:
```
SrMnW2
1.0
-2.4937 2.4937 8.4145
2.4937 -2.4937 8.4145
2.4937 2.4937 -8.4145
Sr Mn W
2 2 4
Cartesian
2.4937 1.2469 2.1036
0.0000 1.2469 6.3109
2.4937 -1.2469 6.3109
0.0000 3.7406 2.1036
0.0000 0.0000 0.0000
1.2469 1.2469 -4.2073
1.2469 -1.2469 4.2073
0.0000 2.4937 0.0000
```

Calculated values
Formation enthalpy at 0 K ... 5.725 eV per formula unit
Fermi-level density of states ... 9.0 states/eV/cell
Symmetry ... No. 141